Entry 1:
The following is a DFT calculation (PBE) of BeZnRe2 after structural relaxation.

Lattice parameters (Å, degrees): 4.7922 4.7922 4.7922 134.89 134.89 65.71
Atoms (fractional coordinates):
1 Re 0.0000 0.0000 0.0000
2 Re 0.5000 0.5000 0.0000
3 Zn 0.2500 0.7500 0.5000
4 Be 0.7500 0.2500 0.5000

**DOS at the Fermi energy**: 3.70 states/eV/f.u.
**Energy of formation from the pure elements**: 395 meV per atom
**Total moment**: 0.000 μB/cell

Entry 2:
The following is a DFT calculation (PBE) of LiThGa3 after structural relaxation.

Lattice parameters (Å, degrees): 4.2524 4.3280 11.0482 101.30 100.24 90.00
Atoms (fractional coordinates):
1 Ga 0.5181 0.2929 0.5857
2 Ga 0.2802 0.0324 0.0649
3 Ga 0.4819 0.7071 0.4143
4 Ga 0.9272 0.2070 0.4141
5 Ga 0.0728 0.7930 0.5859
6 Ga 0.7198 0.9676 0.9351
7 Li 0.3728 0.1470 0.2940
8 Li 0.6272 0.8530 0.7060
9 Th 0.8254 0.5839 0.1677
10 Th 0.1746 0.4161 0.8323

**Energy relative to the lowest polymorph listed for this composition**: 62 meV per atom
**DOS at the Fermi energy**: 1.15 states/eV/f.u.
**Energy of formation from the pure elements**: -365 meV per atom
**Total moment**: 0.000 μB/cell

Entry 3:
The following is a DFT calculation (PBE) of LiAc2InSe5 after structural relaxation.

Lattice parameters (Å, degrees): 4.3028 9.4765 12.3742 90.00 90.00 103.12
Atoms (fractional coordinates):
1 Se 0.4953 0.9905 0.2785
2 Se 0.9622 0.9243 0.5719
3 Se 0.0378 0.0757 0.0719
4 Se 0.6413 0.2827 0.4975
5 Se 0.3051 0.6101 0.3476
6 Se 0.2986 0.5972 0.6558
7 Se 0.7014 0.4028 0.1558
8 Se 0.3587 0.7173 0.9975
9 Se 0.6949 0.3899 0.8476
10 Se 0.5047 0.0095 0.7785
11 Ac 0.1265 0.2530 0.6829
12 Ac 0.8735 0.7470 0.1829
13 Ac 0.8718 0.7436 0.8040
14 Ac 0.1282 0.2564 0.3040
15 In 0.5765 0.1530 0.9658
16 In 0.4235 0.8470 0.4658
17 Li 0.7784 0.5567 0.5200
18 Li 0.2216 0.4433 0.0200

**Total DFT energy (no corrections)**: -87.64 eV for the cell shown
**Total moment**: 0.000 μB/cell

Entry 4:
The following is a DFT calculation (PBE) of NaTcO3 after structural relaxation.

Lattice parameters (Å, degrees): 7.2617 7.2617 7.2617 60.00 60.00 60.00
Atoms (fractional coordinates):
1 Na 0.6250 0.1250 0.1250
2 Na 0.1250 0.1250 0.6250
3 Na 0.1250 0.6250 0.1250
4 Na 0.1250 0.1250 0.1250
5 O 0.6976 0.6976 0.3024
6 O 0.9476 0.5524 0.5524
7 O 0.6976 0.3024 0.6976
8 O 0.3024 0.6976 0.6976
9 O 0.3024 0.6976 0.3024
10 O 0.5524 0.5524 0.9476
11 O 0.6976 0.3024 0.3024
12 O 0.9476 0.5524 0.9476
13 O 0.5524 0.9476 0.9476
14 O 0.9476 0.9476 0.5524
15 O 0.3024 0.3024 0.6976
16 O 0.5524 0.9476 0.5524
17 Tc 0.6250 0.1250 0.6250
18 Tc 0.1250 0.6250 0.6250
19 Tc 0.6250 0.6250 0.1250
20 Tc 0.6250 0.6250 0.6250

**Total DFT energy (no corrections)**: -135.11 eV for the cell shown
**DOS at the Fermi energy**: 1.54 states/eV/f.u.
**Total moment**: 7.884 μB/cell